Record 1
PBE-GGA La3Cu, relaxed; calculated total energy = -4.596 eV/atom; DFT formation energy = 2.8 kcal/mol of atoms; SG = Pmm2
1.0
3.668 0.000 0.000
0.000 3.740 0.000
0.000 0.000 9.529
La Cu
3 1
Direct
0.000 0.000 0.000 La
0.000 0.500 0.320 La
0.500 0.500 0.716 La
0.500 0.000 0.470 Cu

***

Record 2
PBE-GGA Mg2Zn15Pd2, relaxed; calculated total energy = -1.849 eV/atom; DFT formation energy = -3.0 kcal/mol of atoms; SG = R-3m
1.0
4.449 2.569 4.382
-4.449 2.569 4.382
0.000 -5.138 4.382
Mg Zn Pd
2 15 2
Direct
0.176 0.176 0.176 Mg
0.824 0.824 0.824 Mg
0.000 0.500 0.500 Zn
0.144 0.144 0.654 Zn
0.144 0.654 0.144 Zn
0.207 0.500 0.793 Zn
0.207 0.793 0.500 Zn
0.346 0.856 0.856 Zn
0.500 0.000 0.500 Zn
0.500 0.207 0.793 Zn
0.500 0.500 0.000 Zn
0.500 0.793 0.207 Zn
0.654 0.144 0.144 Zn
0.793 0.207 0.500 Zn
0.793 0.500 0.207 Zn
0.856 0.346 0.856 Zn
0.856 0.856 0.346 Zn
0.390 0.390 0.390 Pd
0.610 0.610 0.610 Pd

***

Record 3
PBE-GGA Ni2AgOs, relaxed; polymorph energy (0 for the lowest one) = 228 meV per atom; calculated total energy = -5.990 eV/atom; DFT formation energy = 9.7 kcal/mol of atoms; SG = Imm2
1.0
-1.331 2.217 4.605
1.331 -2.217 4.605
1.331 2.217 -4.605
Ni Ag Os
2 1 1
Direct
0.000 0.000 0.000 Ni
0.772 0.272 0.500 Ni
0.505 0.505 0.000 Ag
0.226 0.726 0.500 Os

***

Record 4
PBE-GGA Pm2InIr2, relaxed; polymorph energy (0 for the lowest one) = 0 meV per atom; calculated total energy = -6.675 eV/atom; DFT formation energy = -15.7 kcal/mol of atoms; SG = C2/c
1.0
5.159 -2.815 0.000
5.159 2.815 0.000
-2.248 0.000 7.934
Pm In Ir
4 2 4
Direct
0.014 0.697 0.852 Pm
0.303 0.986 0.648 Pm
0.697 0.014 0.352 Pm
0.986 0.303 0.148 Pm
0.348 0.652 0.250 In
0.652 0.348 0.750 In
0.208 0.508 0.492 Ir
0.492 0.792 0.008 Ir
0.508 0.208 0.992 Ir
0.792 0.492 0.508 Ir

***

Record 5
PBE-GGA PmPu5S6, relaxed; energy relative to the elements, uncorrected = -1811 meV per atom; calculated total energy = -10.243 eV/atom; SG = C2/m
1.0
3.445 -5.960 0.000
3.445 5.960 0.000
-2.293 0.000 6.490
Pm Pu S
1 5 6
Direct
0.000 0.000 0.000 Pm
0.165 0.835 0.500 Pu
0.333 0.667 0.000 Pu
0.500 0.500 0.500 Pu
0.667 0.333 0.000 Pu
0.835 0.165 0.500 Pu
0.085 0.423 0.253 S
0.254 0.254 0.748 S
0.423 0.085 0.253 S
0.577 0.915 0.747 S
0.746 0.746 0.252 S
0.915 0.577 0.747 S

***

Record 6
PBE-GGA VAsIrBr2, relaxed; polymorph energy (0 for the lowest one) = 17 meV per atom; energy relative to the elements, uncorrected = 1012 meV per atom; calculated total energy = -4.183 eV/atom; SG = P4/mmm
1.0
4.713 0.000 0.000
0.000 4.713 0.000
0.000 0.000 5.111
V As Ir Br
1 1 1 2
Direct
0.000 0.000 0.000 V
0.000 0.000 0.500 As
0.500 0.500 0.500 Ir
0.000 0.500 0.000 Br
0.500 0.000 0.000 Br